Record 1
Computed, not measured: an optimized crystal structure of Ba2CaTl at the PBE level of DFT.

Calculated values
- Energy of formation from the pure elements: -0.10 eV per atom
- Spin magnetization: 0.0 μB/f.u.
- Relative energy among the computed polymorphs: 0.116 eV/atom

Cell: 6.559 6.559 6.559 Å, 128.82 128.82 75.30°
Positions (direct):
1 Ba 0.000 0.000 0.000
2 Ba 0.250 0.750 0.500
3 Tl 0.750 0.250 0.500
4 Ca 0.500 0.500 0.000

---

Record 2
Computed, not measured: an optimized crystal structure of PmThSc at the PBE level of DFT.

Calculated values
- Energy of formation from the pure elements: 0.07 eV per atom
- Spin magnetization: 0.0 μB/f.u.
- Relative energy among the computed polymorphs: 0.015 eV/atom

Cell: 6.907 9.554 6.495 Å, 90.00 122.10 90.00°
Positions (direct):
1 Sc 0.378 0.079 0.255
2 Pm 0.372 0.412 0.245
3 Sc 0.878 0.421 0.255
4 Th 0.874 0.250 0.749
5 Sc 0.122 0.579 0.745
6 Sc 0.622 0.921 0.745
7 Pm 0.872 0.088 0.245
8 Th 0.626 0.750 0.251
9 Th 0.126 0.750 0.251
10 Pm 0.128 0.912 0.755
11 Th 0.374 0.250 0.749
12 Pm 0.628 0.588 0.755

---

Record 3
Computed, not measured: an optimized crystal structure of CePm2Er4Tm at the PBE level of DFT.

Calculated values
- Energy of formation from the pure elements: 0.13 eV per atom
- Spin magnetization: 0.9 μB/f.u.

Cell: 5.804 9.501 5.810 Å, 52.31 90.00 90.00°
Positions (direct):
1 Er 0.500 0.256 0.744
2 Er 0.500 0.744 0.256
3 Pm 0.500 0.000 0.500
4 Er 0.000 0.744 0.756
5 Er 0.000 0.256 0.244
6 Pm 0.000 0.000 0.000
7 Ce 0.500 0.500 0.000
8 Tm 0.000 0.500 0.500

---

Record 4
Computed, not measured: an optimized crystal structure of B2C at the PBE level of DFT.

Calculated values
- Energy of formation from the pure elements: 0.29 eV per atom
- Spin magnetization: 0.0 μB/f.u.
- Relative energy among the computed polymorphs: 0.102 eV/atom

Cell: 5.969 5.969 4.933 Å, 91.63 91.63 26.42°
Positions (direct):
1 B 0.863 0.863 0.444
2 B 0.991 0.991 0.683
3 C 0.340 0.340 0.938
4 B 0.812 0.812 0.101
5 B 0.188 0.188 0.899
6 B 0.009 0.009 0.317
7 B 0.718 0.718 0.400
8 C 0.466 0.466 0.864
9 B 0.282 0.282 0.600
10 C 0.660 0.660 0.062
11 C 0.534 0.534 0.136
12 B 0.137 0.137 0.556

---

Record 5
Computed, not measured: an optimized crystal structure of KGa3Cu at the PBE level of DFT.

Calculated values
- Energy of formation from the pure elements: 1.38 eV per atom
- Spin magnetization: 0.0 μB/f.u.
- Relative energy among the computed polymorphs: 1.330 eV/atom

Cell: 5.737 5.737 5.737 Å, 90.00 90.00 90.00°
Positions (direct):
1 Ga 0.000 0.500 0.000
2 Cu 0.500 0.500 0.500
3 Ga 0.500 0.000 0.000
4 K 0.000 0.000 0.000
5 Ga 0.000 0.000 0.500

---

Record 6
Computed, not measured: an optimized crystal structure of BeFe4Pb at the PBE level of DFT.

Calculated values
- Energy of formation from the pure elements: 0.42 eV per atom
- Spin magnetization: 8.6 μB/f.u.

Cell: 4.881 4.881 4.881 Å, 60.00 60.00 60.00°
Positions (direct):
1 Fe 0.626 0.626 0.121
2 Be 0.000 0.000 0.000
3 Fe 0.121 0.626 0.626
4 Fe 0.626 0.626 0.626
5 Pb 0.250 0.250 0.250
6 Fe 0.626 0.121 0.626

---

Record 7
Computed, not measured: an optimized crystal structure of MgSi at the PBE level of DFT.

Calculated values
- Spin magnetization: 0.0 μB/f.u.
- Total energy: -3.085 eV per atom

Cell: 5.504 5.504 5.504 Å, 90.00 90.00 90.00°
Positions (direct):
1 Mg 0.000 0.000 0.000
2 Mg 0.500 0.500 0.000
3 Si 0.500 0.500 0.500
4 Si 0.000 0.000 0.500
5 Mg 0.500 0.000 0.500
6 Si 0.500 0.000 0.000
7 Mg 0.000 0.500 0.500
8 Si 0.000 0.500 0.000

---

Record 8
Computed, not measured: an optimized crystal structure of GeOsS2N at the PBE level of DFT.

Calculated values
- Spin magnetization: 0.0 μB/f.u.
- Relative energy among the computed polymorphs: 0.000 eV/atom

Cell: 4.852 4.852 3.689 Å, 90.00 90.00 90.00°
Positions (direct):
1 S 0.000 0.500 0.000
2 N 0.000 0.000 0.500
3 Os 0.000 0.000 0.000
4 S 0.500 0.000 0.000
5 Ge 0.500 0.500 0.500